Below is a relaxed Pm3Sm2Mg crystal, with properties calculated at the PBE-GGA level.

Geometry as extended XYZ:
```
12
Lattice="5.030 0.000 0.000 0.000 15.395 0.000 0.000 0.000 5.030" Properties=species:S:1:pos:R:3 pbc="T T T"
Pm 0.000 0.000 0.000
Pm 0.000 5.110 0.000
Pm 0.000 10.285 0.000
Pm 2.515 2.587 0.000
Pm 2.515 7.698 0.000
Pm 2.515 12.808 0.000
Sm 0.000 2.541 2.515
Sm 0.000 12.855 2.515
Sm 2.515 5.157 2.515
Sm 2.515 10.238 2.515
Mg 0.000 7.698 2.515
Mg 2.515 0.000 2.515
```

Computed properties:
Its energy of formation from the pure elements is 0.0075 eV/atom. The polymorph energy (0 for the lowest one) comes out at 0.0000 eV per atom.